# Sc3RhPb (GGA-PBE, optimized geometry)
data_Sc3RhPb
_chemical_formula_sum 'Sc3 Rh1 Pb1'
_space_group_name_H-M_alt 'P 1'
_space_group_IT_number 1
_space_group_name_Hall 'P 1'
_cell_length_a 5.0087
_cell_length_b 5.0087
_cell_length_c 5.0087
_cell_angle_alpha 90.00
_cell_angle_beta 90.00
_cell_angle_gamma 90.00
loop_
_atom_site_label
_atom_site_type_symbol
_atom_site_fract_x
_atom_site_fract_y
_atom_site_fract_z
Sc1 Sc 0.5000 0.0000 0.0000
Sc2 Sc 0.0000 0.5000 0.0000
Rh1 Rh 0.0000 0.0000 0.0000
Pb1 Pb 0.5000 0.5000 0.5000
Sc3 Sc 0.0000 0.0000 0.5000
# Space-group type: Pm-3m
# Formation enthalpy at 0 K in eV per atom: -0.360
# Total magnetization in μB per cell: 0.00
# ΔE to the lowest computed polymorph in eV/atom: 0.000
# Volume in Å³/cell: 126
# Energy in eV per cell: -31.9